Entry 1:
This record from the Alexandria database describes crystalline Cs3KRb2 at its relaxed geometry. The functional is GGA-PBE.

a b c (Å): 9.7456 9.7456 12.9117
angles (deg): 97.05 97.05 97.50
Closest atoms and distances in Å follow each position.
Atoms (fractional coordinates):
Cs 0.0743 0.9257 0.7500  1 K 4.64, 4 Cs 4.98-5.17
Cs 0.2002 0.3594 0.0096  2 K 4.69-4.79, 3 Cs 4.98-5.17, 1 Rb 5.14
Cs 0.3594 0.2002 0.5096  2 K 4.69-4.79, 3 Cs 4.98-5.17, 1 Rb 5.14
Cs 0.6406 0.7998 0.4904  2 K 4.69-4.79, 3 Cs 4.98-5.17, 1 Rb 5.14
Cs 0.7998 0.6406 0.9904  2 K 4.69-4.79, 3 Cs 4.98-5.17, 1 Rb 5.14
Cs 0.9257 0.0743 0.2500  1 K 4.64, 4 Cs 4.98-5.17
K 0.3906 0.6094 0.7500  5 Cs 4.64-4.79, 2 Rb 5.14
K 0.6094 0.3906 0.2500  5 Cs 4.64-4.79, 2 Rb 5.14
Rb 0.1166 0.6254 0.3744  2 Rb 4.90-5.03, 7 Cs 5.14-5.46, 2 K 5.14-5.27
Rb 0.3746 0.8834 0.1256  2 Rb 4.90-5.03, 7 Cs 5.14-5.46, 2 K 5.14-5.27
Rb 0.6254 0.1166 0.8744  2 Rb 4.90-5.03, 7 Cs 5.14-5.46, 2 K 5.14-5.27
Rb 0.8834 0.3746 0.6256  2 Rb 4.90-5.03, 7 Cs 5.14-5.46, 2 K 5.14-5.27

Output
Crystal system ... monoclinic
VASP energy ... -0.917 eV/atom

Entry 2:
This record from the Alexandria database describes crystalline Cs2K8Rb3 at its relaxed geometry. The functional is GGA-PBE.

a b c (Å): 17.7820 17.7820 17.7820
angles (deg): 28.65 28.65 28.65
Closest atoms and distances in Å follow each position.
Atoms (fractional coordinates):
Cs 0.1410 0.1410 0.1410  4 K 4.54-4.78
Cs 0.8590 0.8590 0.8590  4 K 4.54-4.78
K 0.2294 0.2294 0.7269  6 K 4.38-4.89, 1 Rb 4.71, 1 Cs 4.78
K 0.2294 0.7269 0.2294  6 K 4.38-4.89, 1 Rb 4.71, 1 Cs 4.78
K 0.2299 0.2299 0.2299  1 Rb 4.48, 1 Cs 4.54, 6 K 4.89
K 0.2731 0.7706 0.7706  6 K 4.38-4.89, 1 Rb 4.71, 1 Cs 4.78
K 0.7269 0.2294 0.2294  6 K 4.38-4.89, 1 Rb 4.71, 1 Cs 4.78
K 0.7701 0.7701 0.7701  1 Rb 4.48, 1 Cs 4.54, 6 K 4.89
K 0.7706 0.2731 0.7706  6 K 4.38-4.89, 1 Rb 4.71, 1 Cs 4.78
K 0.7706 0.7706 0.2731  6 K 4.38-4.89, 1 Rb 4.71, 1 Cs 4.78
Rb 0.3174 0.3174 0.3174  10 K 4.48-4.99
Rb 0.5000 0.5000 0.5000  6 Cs 5.25
Rb 0.6826 0.6826 0.6826  10 K 4.48-4.99

Output
Crystal system ... trigonal
VASP energy ... -0.989 eV/atom

Entry 3:
This record from the Alexandria database describes crystalline CsK12Rb7 at its relaxed geometry. The functional is GGA-PBE.

a b c (Å): 12.6808 12.6808 12.6808
angles (deg): 108.02 108.02 108.02
Closest atoms and distances in Å follow each position.
Atoms (fractional coordinates):
Cs 0.0000 0.0000 0.0000  6 Rb 4.94, 6 K 5.21
K 0.0420 0.3123 0.4090  2 K 4.40-4.54, 3 Rb 4.57-4.91
K 0.2315 0.6637 0.3818  2 K 4.40-4.54, 4 Rb 4.41-4.82
K 0.3123 0.4090 0.0420  2 K 4.40-4.54, 3 Rb 4.57-4.91
K 0.3363 0.6182 0.7685  2 K 4.40-4.54, 4 Rb 4.41-4.82
K 0.3818 0.2315 0.6637  2 K 4.40-4.54, 4 Rb 4.41-4.82
K 0.4090 0.0420 0.3123  2 K 4.40-4.54, 3 Rb 4.57-4.91
K 0.5910 0.9580 0.6877  2 K 4.40-4.54, 3 Rb 4.57-4.91
K 0.6182 0.7685 0.3363  2 K 4.40-4.54, 4 Rb 4.41-4.82
K 0.6637 0.3818 0.2315  2 K 4.40-4.54, 4 Rb 4.41-4.82
K 0.6877 0.5910 0.9580  2 K 4.40-4.54, 3 Rb 4.57-4.91
K 0.7685 0.3363 0.6182  2 K 4.40-4.54, 4 Rb 4.41-4.82
K 0.9580 0.6877 0.5910  2 K 4.40-4.54, 3 Rb 4.57-4.91
Rb 0.0163 0.8742 0.3341  6 K 4.41-4.91, 1 Rb 4.65
Rb 0.1258 0.6659 0.9837  6 K 4.41-4.91, 1 Rb 4.65
Rb 0.3341 0.0163 0.8742  6 K 4.41-4.91, 1 Rb 4.65
Rb 0.5000 0.5000 0.5000  12 K 4.61-5.13
Rb 0.6659 0.9837 0.1258  6 K 4.41-4.91, 1 Rb 4.65
Rb 0.8742 0.3341 0.0163  6 K 4.41-4.91, 1 Rb 4.65
Rb 0.9837 0.1258 0.6659  6 K 4.41-4.91, 1 Rb 4.65

Output
Crystal system ... trigonal
VASP energy ... -1.013 eV/atom

Entry 4:
This record from the Alexandria database describes crystalline CsK2Rb4 at its relaxed geometry. The functional is GGA-PBE.

a b c (Å): 8.9894 12.1584 12.3789
angles (deg): 88.91 68.84 87.18
Closest atoms and distances in Å follow each position.
Atoms (fractional coordinates):
Cs 0.0000 0.0000 0.0000  2 K 4.67-4.99, 3 Rb 4.99-5.18
Cs 0.4111 0.1775 0.1476  5 Rb 4.76-5.30, 1 K 5.08, 2 Cs 5.24-5.30
K 0.1217 0.7105 0.7345  1 Cs 4.67, 4 Rb 4.68-5.11, 4 K 4.99-5.20
K 0.2055 0.0932 0.5787  8 Rb 4.62-5.15, 1 K 4.99, 2 Cs 4.99-5.08
K 0.7067 0.5943 0.5761  8 Rb 4.54-5.04, 3 K 5.04-5.07
K 0.9328 0.5305 0.1432  7 Rb 4.78-5.12, 2 K 5.06-5.20
Rb 0.0643 0.8417 0.3567  3 Rb 4.48-4.94, 2 K 4.59-4.66, 1 Cs 4.99
Rb 0.2894 0.4756 0.4137  4 K 4.68-5.13, 1 Cs 4.76, 4 Rb 4.94-5.23
Rb 0.3446 0.3508 0.8004  2 Rb 4.44-4.56, 4 K 4.60-4.97, 1 Cs 4.97
Rb 0.4847 0.6701 0.0051  6 Rb 4.80-5.27, 3 K 5.00-5.12
Rb 0.5694 0.8381 0.3423  3 Rb 4.48-4.99, 3 K 4.54-4.91
Rb 0.6328 0.9690 0.7338  6 Rb 4.80-5.37, 4 K 4.91-5.28
Rb 0.7857 0.2279 0.4073  4 K 4.78-5.21, 4 Rb 4.91-5.23
Rb 0.8427 0.3522 0.8173  3 Rb 4.44-4.94, 3 K 4.58-4.95

Output
Crystal system ... triclinic
VASP energy ... -0.973 eV/atom

Entry 5:
This record from the Alexandria database describes crystalline CsK17Rb11 at its relaxed geometry. The functional is GGA-PBE.

a b c (Å): 14.4880 14.4880 14.5427
angles (deg): 109.38 109.38 109.39
Closest atoms and distances in Å follow each position.
Atoms (fractional coordinates):
Cs 0.0000 0.0000 0.0000  3 Rb 4.53-4.67, 5 K 4.56-4.89
K 0.0167 0.3832 0.1868  3 K 4.65-4.73, 3 Rb 5.13-5.16, 1 Cs 5.19
K 0.0634 0.3806 0.5918  5 Rb 4.47-4.89, 3 K 4.69-4.89
K 0.0649 0.7848 0.1877  4 Rb 4.44-4.92, 3 K 4.73-4.98, 1 Cs 4.89
K 0.1030 0.6953 0.5007  5 Rb 4.44-4.86, 3 K 4.65-4.89
K 0.3778 0.3778 0.8213  3 K 4.62-4.69, 4 Rb 5.09-5.14
K 0.3797 0.7880 0.8687  5 Rb 4.48-4.85, 3 K 4.68-4.89
K 0.3806 0.0634 0.5918  5 Rb 4.47-4.89, 3 K 4.69-4.89
K 0.3823 0.3823 0.1861  4 K 5.25-5.30, 11 Rb 5.25-5.37, 1 Cs 5.33
K 0.3832 0.0167 0.1868  3 K 4.65-4.73, 3 Rb 5.13-5.16, 1 Cs 5.19
K 0.6503 0.9714 0.7728  4 Rb 4.46-4.82, 3 K 4.71-4.85, 1 Cs 4.83
K 0.6890 0.6890 0.9061  1 Cs 4.56, 5 K 4.62-5.06, 4 Rb 4.72-4.82
K 0.6953 0.1030 0.5007  5 Rb 4.44-4.86, 3 K 4.65-4.89
K 0.7423 0.7423 0.5471  3 K 4.66-4.71, 6 Rb 5.14-5.15
K 0.7848 0.0649 0.1877  4 Rb 4.44-4.92, 3 K 4.73-4.98, 1 Cs 4.89
K 0.7880 0.3797 0.8687  5 Rb 4.48-4.85, 3 K 4.68-4.89
K 0.9694 0.9694 0.4586  5 Rb 4.44-4.83, 3 K 4.66-4.86
K 0.9714 0.6503 0.7728  4 Rb 4.46-4.82, 3 K 4.71-4.85, 1 Cs 4.83
Rb 0.9995 0.1948 0.8004  2 Rb 4.42-4.62, 5 K 4.44-4.82, 1 Cs 4.67
Rb 0.1878 0.5677 0.9930  3 Rb 4.42-4.58, 5 K 4.46-4.89
Rb 0.1897 0.1897 0.3803  5 K 4.44-4.92, 1 Cs 4.53, 2 Rb 4.56
Rb 0.1948 0.9995 0.8004  2 Rb 4.42-4.62, 5 K 4.44-4.82, 1 Cs 4.67
Rb 0.3800 0.5738 0.5647  3 Rb 4.42-4.58, 5 K 4.48-4.83
Rb 0.3800 0.7594 0.3774  3 Rb 4.42-4.58, 5 K 4.47-4.86
Rb 0.5677 0.1878 0.9930  3 Rb 4.42-4.58, 5 K 4.46-4.89
Rb 0.5729 0.7596 0.1847  3 Rb 4.42-4.57, 5 K 4.44-4.83
Rb 0.5738 0.3800 0.5647  3 Rb 4.42-4.58, 5 K 4.48-4.83
Rb 0.7594 0.3800 0.3774  3 Rb 4.42-4.58, 5 K 4.47-4.86
Rb 0.7596 0.5729 0.1847  3 Rb 4.42-4.57, 5 K 4.44-4.83

Output
Crystal system ... monoclinic
VASP energy ... -1.015 eV/atom

Entry 6:
This record from the Alexandria database describes crystalline Cs11K17Rb at its relaxed geometry. The functional is GGA-PBE.

a b c (Å): 14.9624 14.9624 14.8759
angles (deg): 109.42 109.42 109.48
Closest atoms and distances in Å follow each position.
Atoms (fractional coordinates):
Cs 0.0000 0.0000 0.0000  1 Rb 4.54, 5 K 4.57-4.91, 2 Cs 4.81
Cs 0.9996 0.6137 0.3814  5 K 4.55-4.92, 3 Cs 4.64-4.82
Cs 0.1872 0.9926 0.5639  5 K 4.57-4.97, 2 Cs 4.64-4.75, 1 Rb 4.71
Cs 0.4159 0.6053 0.1838  5 K 4.56-4.96, 3 Cs 4.63-4.82
Cs 0.4161 0.8031 0.9867  5 K 4.53-4.97, 3 Cs 4.62-4.81
Cs 0.6053 0.4159 0.1838  5 K 4.56-4.96, 3 Cs 4.63-4.82
Cs 0.6066 0.8032 0.7977  5 K 4.52-4.95, 3 Cs 4.62-4.81
Cs 0.6137 0.9996 0.3814  5 K 4.55-4.92, 3 Cs 4.64-4.82
Cs 0.8031 0.4161 0.9867  5 K 4.53-4.97, 3 Cs 4.62-4.81
Cs 0.8032 0.6066 0.7977  5 K 4.52-4.95, 3 Cs 4.62-4.81
Cs 0.9926 0.1872 0.5639  5 K 4.57-4.97, 2 Cs 4.64-4.75, 1 Rb 4.71
K 0.0763 0.4853 0.8663  5 Cs 4.57-4.94, 3 K 4.83-4.98
K 0.1191 0.8037 0.7725  5 Cs 4.53-4.97, 2 K 4.79-4.98
K 0.1196 0.3888 0.1867  4 Cs 4.56-4.92, 3 K 4.75-5.00, 1 Rb 4.83
K 0.1686 0.8043 0.1844  3 K 4.75-4.83, 2 Cs 5.27-5.30
K 0.2108 0.2108 0.9080  5 Cs 4.57-4.95, 3 K 4.80-5.00
K 0.2137 0.5238 0.5899  4 Cs 4.55-4.97, 3 K 4.75-5.09, 1 Rb 4.78
K 0.3888 0.1196 0.1867  4 Cs 4.56-4.92, 3 K 4.75-5.00, 1 Rb 4.83
K 0.3913 0.8022 0.4998  5 Cs 4.52-4.93, 3 K 4.78-4.99
K 0.4355 0.4355 0.8160  3 K 4.75-4.80
K 0.4803 0.4803 0.4568  1 Rb 4.43, 3 K 4.88-4.91, 4 Cs 4.89-4.96
K 0.4853 0.0763 0.8663  5 Cs 4.57-4.94, 3 K 4.83-4.98
K 0.5238 0.2137 0.5899  4 Cs 4.55-4.97, 3 K 4.75-5.09, 1 Rb 4.78
K 0.8009 0.8009 0.5495  3 K 4.79-4.88, 2 Cs 5.36
K 0.8022 0.3913 0.4998  5 Cs 4.52-4.93, 3 K 4.78-4.99
K 0.8037 0.1191 0.7725  5 Cs 4.53-4.97, 2 K 4.79-4.98
K 0.8043 0.1686 0.1844  3 K 4.75-4.83, 2 Cs 5.27-5.30
K 0.8040 0.8040 0.1844  11 Cs 5.45-5.57, 4 K 5.45-5.51, 1 Rb 5.53
Rb 0.1889 0.1889 0.3729  5 K 4.43-4.83, 3 Cs 4.54-4.71

Output
Crystal system ... monoclinic
VASP energy ... -0.964 eV/atom